Compound: La2MnBiO6
Source: Alexandria via LeMat-Bulk
Functional: GGA+U
Structure: relaxed

- Electronic total energy: -7.3340 eV per atom
- SG: P4mm

a b c (Å): 5.379 5.488 5.488
angles (deg): 90.00 90.00 90.00
Fractional positions:
La (0.004, 0.500, 0.000)
La (0.004, 0.000, 0.500)
Mn (0.615, 0.000, 0.000)
Bi (0.549, 0.500, 0.500)
O (0.733, 0.238, 0.238)
O (0.733, 0.238, 0.762)
O (0.123, 0.500, 0.500)
O (0.220, 0.000, 0.000)
O (0.733, 0.762, 0.762)
O (0.733, 0.762, 0.238)